A plane-wave DFT calculation with PBE-GGA was carried out for an optimized crystal structure of HfH4Ru3.

- DFT total energy: -6.639 eV per atom
- Space-group type: Pm-3m (221)

Cell and atoms, written as POSCAR:
```
HfH4Ru3
1.0
4.0920 0.0000 0.0000
0.0000 4.0920 0.0000
0.0000 0.0000 4.0920
H Ru Hf
4 3 1
Direct
0.0000 0.0000 0.5000
0.0000 0.5000 0.0000
0.5000 0.5000 0.5000
0.5000 0.0000 0.0000
0.0000 0.5000 0.5000
0.5000 0.5000 0.0000
0.5000 0.0000 0.5000
0.0000 0.0000 0.0000
```

A plane-wave DFT calculation with PBE-GGA was carried out for an optimized crystal structure of HfSbHRu2.

- DFT total energy: -7.439 eV per atom
- Space-group type: P4/mmm (123)

Cell and atoms, written as POSCAR:
```
HfSbHRu2
1.0
4.2190 0.0000 0.0000
0.0000 4.2190 0.0000
0.0000 0.0000 3.9461
Ru Sb H Hf
2 1 1 1
Direct
0.0000 0.5000 0.0000
0.5000 0.0000 0.0000
0.5000 0.5000 0.5000
0.0000 0.0000 0.0000
0.0000 0.0000 0.5000
```

A plane-wave DFT calculation with PBE-GGA was carried out for an optimized crystal structure of Hf2SnHRu.

- DFT total energy: -7.645 eV per atom
- Space-group type: P4/mmm (123)

Cell and atoms, written as POSCAR:
```
Hf2SnHRu
1.0
4.4012 0.0000 0.0000
0.0000 4.4012 0.0000
0.0000 0.0000 4.0401
Hf Ru H Sn
2 1 1 1
Direct
0.5000 0.0000 0.0000
0.0000 0.5000 0.0000
0.0000 0.0000 0.5000
0.0000 0.0000 0.0000
0.5000 0.5000 0.5000
```

A plane-wave DFT calculation with PBE-GGA was carried out for an optimized crystal structure of HfSnHRu2.

- DFT total energy: -7.463 eV per atom
- Space-group type: P4/mmm (123)

Cell and atoms, written as POSCAR:
```
HfSnHRu2
1.0
-3.7136 -0.4310 2.0104
-0.1976 -4.0564 -1.2346
1.8642 -1.0691 3.2142
Ru Sn H Hf
2 1 1 1
Direct
0.0000 0.5000 0.0000
0.5000 0.0000 0.0000
0.5000 0.5000 0.5000
0.0000 0.0000 0.0000
0.0000 0.0000 0.5000
```

A plane-wave DFT calculation with PBE-GGA was carried out for an optimized crystal structure of HfTcHRu2.

- DFT total energy: -8.576 eV per atom
- Distance to the lowest polymorph of the same formula: 39.6 meV per atom
- Space-group type: P4/mmm (123)

Cell and atoms, written as POSCAR:
```
HfTcHRu2
1.0
3.9688 0.0000 0.0000
0.0000 3.9688 0.0000
0.0000 0.0000 4.0885
Tc Hf H Ru
1 1 1 2
Direct
0.5000 0.5000 0.5000
0.0000 0.0000 0.5000
0.0000 0.0000 0.0000
0.0000 0.5000 0.0000
0.5000 0.0000 0.0000
```

A plane-wave DFT calculation with PBE-GGA was carried out for an optimized crystal structure of HfTcHRu2.

- DFT total energy: -8.616 eV per atom
- Distance to the lowest polymorph of the same formula: 0.0 meV per atom
- Space-group type: P4/mmm (123)

Cell and atoms, written as POSCAR:
```
HfTcHRu2
1.0
-0.4465 0.9969 -3.8663
3.4799 -1.8103 -0.8687
-1.9432 -3.4198 -0.6574
Tc H Hf Ru
1 1 1 2
Direct
0.0000 0.0000 0.5000
0.0000 0.0000 0.0000
0.5000 0.5000 0.5000
0.5000 0.0000 0.0000
0.0000 0.5000 0.0000
```

A plane-wave DFT calculation with PBE-GGA was carried out for an optimized crystal structure of HfTc2HRu.

- DFT total energy: -8.758 eV per atom
- Distance to the lowest polymorph of the same formula: 0.0 meV per atom
- Space-group type: P4/mmm (123)

Cell and atoms, written as POSCAR:
```
HfTc2HRu
1.0
-2.4157 0.8274 3.0793
-3.1606 -0.1118 -2.4495
-0.4289 -3.9890 0.7354
Tc H Hf Ru
2 1 1 1
Direct
0.0000 0.5000 0.0000
0.5000 0.0000 0.0000
0.0000 0.0000 0.0000
0.5000 0.5000 0.5000
0.0000 0.0000 0.5000
```

A plane-wave DFT calculation with PBE-GGA was carried out for an optimized crystal structure of HfTc2HRu.

- DFT total energy: -8.742 eV per atom
- Distance to the lowest polymorph of the same formula: 15.7 meV per atom
- Space-group type: P4/mmm (123)

Cell and atoms, written as POSCAR:
```
HfTc2HRu
1.0
3.9426 0.0000 0.0000
0.0000 4.2135 0.0000
0.0000 0.0000 3.9426
H Tc Ru Hf
1 2 1 1
Direct
0.0000 0.0000 0.0000
0.0000 0.0000 0.5000
0.5000 0.0000 0.0000
0.5000 0.5000 0.5000
0.0000 0.5000 0.0000
```

A plane-wave DFT calculation with PBE-GGA was carried out for an optimized crystal structure of HfTiHRu2.

- DFT total energy: -8.351 eV per atom
- Space-group type: P4/mmm (123)

Cell and atoms, written as POSCAR:
```
HfTiHRu2
1.0
4.3165 0.0000 0.0000
0.0000 4.3165 0.0000
0.0000 0.0000 3.5633
Ru Ti H Hf
2 1 1 1
Direct
0.0000 0.5000 0.0000
0.5000 0.0000 0.0000
0.0000 0.0000 0.5000
0.0000 0.0000 0.0000
0.5000 0.5000 0.5000
```

A plane-wave DFT calculation with PBE-GGA was carried out for an optimized crystal structure of HfTi2HRu.

- DFT total energy: -7.965 eV per atom
- Space-group type: P4/mmm (123)

Cell and atoms, written as POSCAR:
```
HfTi2HRu
1.0
3.8350 0.0000 0.0000
0.0000 3.8350 0.0000
0.0000 0.0000 4.7792
Ru Ti H Hf
1 2 1 1
Direct
0.5000 0.5000 0.5000
0.0000 0.5000 0.0000
0.5000 0.0000 0.0000
0.0000 0.0000 0.0000
0.0000 0.0000 0.5000
```

A plane-wave DFT calculation with PBE-GGA was carried out for an optimized crystal structure of HfTl2HRu.

- DFT total energy: -4.809 eV per atom
- Space-group type: P4/mmm (123)

Cell and atoms, written as POSCAR:
```
HfTl2HRu
1.0
-3.9789 -3.2354 -1.2936
3.1380 -3.0817 -1.9445
0.4793 -2.4531 4.6610
H Tl Ru Hf
1 2 1 1
Direct
0.5000 0.5000 0.5000
0.5000 0.0000 0.0000
0.0000 0.0000 0.5000
0.0000 0.0000 0.0000
0.0000 0.5000 0.0000
```

A plane-wave DFT calculation with PBE-GGA was carried out for an optimized crystal structure of Hf2ZnHRu.

- DFT total energy: -7.095 eV per atom
- Space-group type: P4/mmm (123)

Cell and atoms, written as POSCAR:
```
Hf2ZnHRu
1.0
-2.8589 2.4238 2.6248
-3.3175 -0.5532 -3.1025
-1.0193 -2.9528 1.6165
Hf Ru H Zn
2 1 1 1
Direct
0.0000 0.5000 0.0000
0.5000 0.0000 0.0000
0.0000 0.0000 0.5000
0.0000 0.0000 0.0000
0.5000 0.5000 0.5000
```

A plane-wave DFT calculation with PBE-GGA was carried out for an optimized crystal structure of HfZnHRu2.

- DFT total energy: -6.878 eV per atom
- Space-group type: P4/mmm (123)

Cell and atoms, written as POSCAR:
```
HfZnHRu2
1.0
4.0284 0.0000 0.0000
0.0000 4.0284 0.0000
0.0000 0.0000 3.9480
H Ru Zn Hf
1 2 1 1
Direct
0.0000 0.0000 0.0000
0.0000 0.5000 0.0000
0.5000 0.0000 0.0000
0.5000 0.5000 0.5000
0.0000 0.0000 0.5000
```

A plane-wave DFT calculation with PBE-GGA was carried out for an optimized crystal structure of HfZnHRu2.

- DFT total energy: -6.876 eV per atom
- Space-group type: P4/mmm (123)

Cell and atoms, written as POSCAR:
```
HfZnHRu2
1.0
4.1578 0.0000 0.0000
0.0000 4.1578 0.0000
0.0000 0.0000 3.6692
Ru Hf Zn H
2 1 1 1
Direct
0.5000 0.0000 0.0000
0.0000 0.5000 0.0000
0.5000 0.5000 0.5000
0.0000 0.0000 0.5000
0.0000 0.0000 0.0000
```